Arrangement one

Density functional theory data (PBE) for a relaxed Pa2NbAs crystal.

Cell: 3.7839 3.7839 6.1480 Å, 90.00 90.00 90.00°
Space group P4/mmm (No. 123)
Symmetry-distinct sites (fractional):
Pa 0.0000 0.0000 0.2284
Nb 0.5000 0.5000 0.5000
As 0.5000 0.5000 0.0000


Arrangement two

Density functional theory data (PBE) for a relaxed Pa2NbAs crystal.

Cell: 3.1267 3.1267 31.7901 Å, 90.00 90.00 120.00°
Space group R-3m (No. 166, hexagonal axes)
Symmetry-distinct sites (fractional):
Pa 0.0000 0.0000 0.0886
Nb 0.0000 0.0000 0.0000
As 0.0000 0.0000 0.5000


Arrangement three

Density functional theory data (PBE) for a relaxed Pa2NbAs crystal.

Cell: 4.3223 4.3223 4.4481 Å, 90.00 90.00 90.00°
Space group P4/mmm (No. 123)
Symmetry-distinct sites (fractional):
Pa 0.0000 0.5000 0.0000
Nb 0.0000 0.0000 0.5000
As 0.5000 0.5000 0.5000


Bottom line: arrangement one, by a margin of 28 meV/atom.